# 1
A relaxed Re2HgOs crystal, computed with PBE.

Calculated values
Its density is 20.0 g/cm³. The calculation puts the volume at 127 Å³ per cell. The value obtained for the total energy is -33.2 eV per formula unit.

a = 3.8721 Å, b = 3.8721 Å, c = 8.4594 Å
α = 90.00°, β = 90.00°, γ = 90.00°
Fractional coordinates of all 8 atoms:
Re 0.0000 0.5000 0.2500
Re 0.0000 0.5000 0.7500
Re 0.5000 0.0000 0.2500
Re 0.5000 0.0000 0.7500
Hg 0.0000 0.0000 0.0000
Hg 0.5000 0.5000 0.5000
Os 0.0000 0.0000 0.5000
Os 0.5000 0.5000 0.0000

=====

# 2
A relaxed Tb4SmIn3 crystal, computed with PBE.

Calculated values
The excess energy over the best structure of this formula in the dataset comes out at 92 meV/atom. Its density is 7.9 g/cm³. The calculation puts the volume at 475 Å³ per cell. The value obtained for the total energy is -33.3 eV per formula unit.

a = 3.5147 Å, b = 8.8409 Å, c = 15.2956 Å
α = 90.00°, β = 90.00°, γ = 90.00°
Fractional coordinates of all 16 atoms:
Tb 0.0000 0.1977 0.1398
Tb 0.0000 0.1977 0.8602
Tb 0.0000 0.8023 0.1398
Tb 0.0000 0.8023 0.8602
Tb 0.5000 0.3023 0.3602
Tb 0.5000 0.3023 0.6398
Tb 0.5000 0.6977 0.3602
Tb 0.5000 0.6977 0.6398
Sm 0.0000 0.5000 0.0000
Sm 0.5000 0.0000 0.5000
In 0.0000 0.0000 0.3146
In 0.0000 0.0000 0.6854
In 0.0000 0.5000 0.5000
In 0.5000 0.0000 0.0000
In 0.5000 0.5000 0.1854
In 0.5000 0.5000 0.8146

=====

# 3
A relaxed Ga2BRh4 crystal, computed with PBE.

Calculated values
Its density is 9.1 g/cm³. The calculation puts the volume at 204 Å³ per cell. The value obtained for the total energy is -44.3 eV per formula unit.

a = 4.0072 Å, b = 4.0072 Å, c = 12.7169 Å
α = 90.00°, β = 90.00°, γ = 90.00°
Fractional coordinates of all 14 atoms:
Ga 0.0000 0.0000 0.1384
Ga 0.0000 0.0000 0.8616
Ga 0.5000 0.5000 0.3616
Ga 0.5000 0.5000 0.6384
B 0.0000 0.0000 0.5000
B 0.5000 0.5000 0.0000
Rh 0.0000 0.0000 0.3313
Rh 0.0000 0.0000 0.6687
Rh 0.0000 0.5000 0.0000
Rh 0.0000 0.5000 0.5000
Rh 0.5000 0.0000 0.0000
Rh 0.5000 0.0000 0.5000
Rh 0.5000 0.5000 0.1687
Rh 0.5000 0.5000 0.8313

=====

# 4
A relaxed CeDyTm2Sb4 crystal, computed with PBE.

Calculated values
Its density is 7.8 g/cm³. As for the uncorrected formation energy: -1.076 eV per atom. The calculation puts the volume at 239 Å³ per cell. The value obtained for the total energy is -44.6 eV per formula unit.

a = 7.5914 Å, b = 4.3924 Å, c = 7.6015 Å
α = 90.00°, β = 109.44°, γ = 90.00°
Fractional coordinates of all 8 atoms:
Ce 0.0000 0.0000 0.0000
Dy 0.0000 0.5000 0.5000
Tm 0.5000 0.0000 0.5000
Tm 0.5000 0.5000 0.0000
Sb 0.2551 0.0000 0.7494
Sb 0.2575 0.5000 0.2553
Sb 0.7425 0.5000 0.7447
Sb 0.7449 0.0000 0.2506

=====

# 5
A relaxed Pa2MoH crystal, computed with PBE.

Calculated values
The excess energy over the best structure of this formula in the dataset comes out at 446 meV/atom. Its density is 9.4 g/cm³. The calculation puts the volume at 295 Å³ per cell. The value obtained for the total energy is -30.9 eV per formula unit.

a = 3.9485 Å, b = 3.9485 Å, c = 21.8464 Å
α = 90.00°, β = 90.00°, γ = 120.00°
Fractional coordinates of all 12 atoms:
Pa 0.0000 0.0000 0.0973
Pa 0.0000 0.0000 0.9027
Pa 0.3333 0.6667 0.5693
Pa 0.3333 0.6667 0.7640
Pa 0.6667 0.3333 0.2360
Pa 0.6667 0.3333 0.4307
Mo 0.0000 0.0000 0.5000
Mo 0.3333 0.6667 0.1667
Mo 0.6667 0.3333 0.8333
H 0.0000 0.0000 0.0000
H 0.3333 0.6667 0.6667
H 0.6667 0.3333 0.3333

=====

# 6
A relaxed Tb3Ga12Ni crystal, computed with PBE.

Calculated values
Its density is 7.7 g/cm³. The calculation puts the volume at 298 Å³ per cell. The value obtained for the total energy is -62.6 eV per formula unit.

a = 4.2930 Å, b = 4.2930 Å, c = 16.1423 Å
α = 90.00°, β = 90.00°, γ = 90.00°
Fractional coordinates of all 16 atoms:
Tb 0.0000 0.0000 0.0000
Tb 0.0000 0.0000 0.2688
Tb 0.0000 0.0000 0.7312
Ga 0.0000 0.5000 0.1334
Ga 0.0000 0.5000 0.4008
Ga 0.0000 0.5000 0.5992
Ga 0.0000 0.5000 0.8666
Ga 0.5000 0.0000 0.1334
Ga 0.5000 0.0000 0.4008
Ga 0.5000 0.0000 0.5992
Ga 0.5000 0.0000 0.8666
Ga 0.5000 0.5000 0.0000
Ga 0.5000 0.5000 0.2610
Ga 0.5000 0.5000 0.5000
Ga 0.5000 0.5000 0.7390
Ni 0.0000 0.0000 0.5000

=====

# 7
A relaxed CaPr2Dy3Se6 crystal, computed with PBE.

Calculated values
Its density is 7.0 g/cm³. As for the uncorrected formation energy: -1.830 eV per atom. The calculation puts the volume at 306 Å³ per cell. The value obtained for the total energy is -68.2 eV per formula unit.

a = 9.3192 Å, b = 9.3192 Å, c = 8.3920 Å
α = 103.39°, β = 103.39°, γ = 25.58°
Fractional coordinates of all 12 atoms:
Ca 0.0000 0.0000 0.0000
Pr 0.3285 0.3285 0.6582
Pr 0.6715 0.6715 0.3418
Dy 0.0000 0.0000 0.5000
Dy 0.3301 0.3301 0.1697
Dy 0.6699 0.6699 0.8303
Se 0.1602 0.1602 0.5925
Se 0.1660 0.1660 0.0715
Se 0.4971 0.4971 0.2511
Se 0.5029 0.5029 0.7489
Se 0.8340 0.8340 0.9285
Se 0.8398 0.8398 0.4075

=====

# 8
A relaxed CaZr2W crystal, computed with PBE.

Calculated values
The excess energy over the best structure of this formula in the dataset comes out at 253 meV/atom. Its density is 7.2 g/cm³. The calculation puts the volume at 93 Å³ per cell. The value obtained for the total energy is -30.2 eV per formula unit.

a = 3.0466 Å, b = 4.8435 Å, c = 6.4486 Å
α = 90.00°, β = 100.92°, γ = 90.00°
Fractional coordinates of all 4 atoms:
Ca 0.0000 0.0000 0.0000
Zr 0.3689 0.5000 0.6839
Zr 0.8265 0.0000 0.4694
W 0.4845 0.5000 0.2785

=====

# 9
A relaxed In3RhW crystal, computed with PBE.

Calculated values
The excess energy over the best structure of this formula in the dataset comes out at 119 meV/atom. Its density is 7.4 g/cm³. The calculation puts the volume at 142 Å³ per cell. The value obtained for the total energy is -22.2 eV per formula unit.

a = 5.2123 Å, b = 5.2123 Å, c = 5.2123 Å
α = 90.00°, β = 90.00°, γ = 90.00°
Fractional coordinates of all 5 atoms:
In 0.0000 0.0000 0.5000
In 0.0000 0.5000 0.0000
In 0.5000 0.0000 0.0000
Rh 0.5000 0.5000 0.5000
W 0.0000 0.0000 0.0000

=====

# 10
A relaxed Ba8Mg2Cd crystal, computed with PBE.

Calculated values
Its density is 3.8 g/cm³. The calculation puts the volume at 544 Å³ per cell. The value obtained for the total energy is -19.5 eV per formula unit.

a = 10.3166 Å, b = 10.3166 Å, c = 10.3166 Å
α = 145.03°, β = 118.36°, γ = 72.87°
Fractional coordinates of all 11 atoms:
Ba 0.1254 0.3443 0.7811
Ba 0.1296 0.1296 0.0000
Ba 0.3291 0.0000 0.3291
Ba 0.4368 0.6557 0.7811
Ba 0.5632 0.3443 0.2189
Ba 0.6709 0.0000 0.6709
Ba 0.8704 0.8704 0.0000
Ba 0.8746 0.6557 0.2189
Mg 0.3016 0.8016 0.5000
Mg 0.6984 0.1984 0.5000
Cd 0.0000 0.5000 0.5000

=====

# 11
A relaxed LaMgCr2 crystal, computed with PBE.

Calculated values
Its density is 5.0 g/cm³. The calculation puts the volume at 266 Å³ per cell. The value obtained for the total energy is -22.6 eV per formula unit.

a = 3.2451 Å, b = 3.2451 Å, c = 29.1409 Å
α = 90.00°, β = 90.00°, γ = 120.00°
Fractional coordinates of all 12 atoms:
La 0.0000 0.0000 0.0000
La 0.3333 0.6667 0.6667
La 0.6667 0.3333 0.3333
Mg 0.0000 0.0000 0.5000
Mg 0.3333 0.6667 0.1667
Mg 0.6667 0.3333 0.8333
Cr 0.0000 0.0000 0.2444
Cr 0.0000 0.0000 0.7556
Cr 0.3333 0.6667 0.4222
Cr 0.3333 0.6667 0.9111
Cr 0.6667 0.3333 0.0889
Cr 0.6667 0.3333 0.5778

=====

# 12
A relaxed CaCeY4S8 crystal, computed with PBE.

Calculated values
Its density is 3.4 g/cm³. As for the uncorrected formation energy: -1.981 eV per atom. The calculation puts the volume at 383 Å³ per cell. The value obtained for the total energy is -94.5 eV per formula unit.

a = 8.1918 Å, b = 8.1918 Å, c = 8.1918 Å
α = 59.40°, β = 59.40°, γ = 59.40°
Fractional coordinates of all 14 atoms:
Ca 0.0000 0.0000 0.0000
Ce 0.6264 0.6264 0.6264
Y 0.1204 0.6270 0.6270
Y 0.2506 0.2506 0.2506
Y 0.6270 0.1204 0.6270
Y 0.6270 0.6270 0.1204
S 0.3775 0.3775 0.8546
S 0.3775 0.8546 0.3775
S 0.3831 0.3831 0.3831
S 0.4051 0.8698 0.8698
S 0.8546 0.3775 0.3775
S 0.8651 0.8651 0.8651
S 0.8698 0.4051 0.8698
S 0.8698 0.8698 0.4051

=====

# 13
A relaxed NaScBeB crystal, computed with PBE.

Calculated values
The excess energy over the best structure of this formula in the dataset comes out at 0 meV/atom. Its density is 2.0 g/cm³. The calculation puts the volume at 73 Å³ per cell. The value obtained for the total energy is -17.8 eV per formula unit.

a = 3.5114 Å, b = 3.5119 Å, c = 7.1325 Å
α = 75.96°, β = 76.17°, γ = 60.01°
Fractional coordinates of all 4 atoms:
Na 0.0000 0.0000 0.0000
Sc 0.1667 0.1740 0.4820
Be 0.4312 0.4354 0.6973
B 0.7764 0.7811 0.6602

=====

# 14
A relaxed CaTcNiP2 crystal, computed with PBE.

Calculated values
Its density is 5.1 g/cm³. The calculation puts the volume at 168 Å³ per cell. The value obtained for the total energy is -33.0 eV per formula unit.

a = 3.8598 Å, b = 3.8598 Å, c = 11.2883 Å
α = 90.00°, β = 90.00°, γ = 90.00°
Fractional coordinates of all 10 atoms:
Ca 0.0000 0.0000 0.0000
Ca 0.5000 0.5000 0.5000
Tc 0.0000 0.5000 0.2500
Tc 0.5000 0.0000 0.7500
Ni 0.0000 0.5000 0.7500
Ni 0.5000 0.0000 0.2500
P 0.0000 0.0000 0.3628
P 0.0000 0.0000 0.6372
P 0.5000 0.5000 0.1372
P 0.5000 0.5000 0.8628

=====

# 15
A relaxed SmEr3Ga4 crystal, computed with PBE.

Calculated values
The excess energy over the best structure of this formula in the dataset comes out at 0 meV/atom. Its density is 8.5 g/cm³. The calculation puts the volume at 182 Å³ per cell. The value obtained for the total energy is -35.1 eV per formula unit.

a = 5.0486 Å, b = 5.0486 Å, c = 7.1250 Å
α = 90.00°, β = 90.00°, γ = 90.00°
Fractional coordinates of all 8 atoms:
Sm 0.0000 0.0000 0.0000
Er 0.0000 0.0000 0.5000
Er 0.5000 0.5000 0.0000
Er 0.5000 0.5000 0.5000
Ga 0.0000 0.5000 0.2567
Ga 0.0000 0.5000 0.7433
Ga 0.5000 0.0000 0.2567
Ga 0.5000 0.0000 0.7433

=====

# 16
A relaxed TbPm2NdDy2 crystal, computed with PBE.

Calculated values
Its density is 7.5 g/cm³. The calculation puts the volume at 408 Å³ per cell. The value obtained for the total energy is -26.5 eV per formula unit.

a = 6.6365 Å, b = 18.0282 Å, c = 3.4137 Å
α = 90.00°, β = 90.00°, γ = 90.00°
Fractional coordinates of all 12 atoms:
Tb 0.0000 0.0000 0.0000
Tb 0.5000 0.5000 0.5000
Pm 0.2299 0.1855 0.0000
Pm 0.2701 0.6855 0.5000
Pm 0.7299 0.3145 0.5000
Pm 0.7701 0.8145 0.0000
Nd 0.0000 0.5000 0.0000
Nd 0.5000 0.0000 0.5000
Dy 0.2288 0.3526 0.5000
Dy 0.2712 0.8526 0.0000
Dy 0.7288 0.1474 0.0000
Dy 0.7712 0.6474 0.5000

=====

# 17
A relaxed SrZnTc crystal, computed with PBE.

Calculated values
The excess energy over the best structure of this formula in the dataset comes out at 103 meV/atom. Its density is 5.8 g/cm³. The calculation puts the volume at 287 Å³ per cell. The value obtained for the total energy is -12.9 eV per formula unit.

a = 11.8223 Å, b = 4.2457 Å, c = 6.2289 Å
α = 90.00°, β = 113.39°, γ = 90.00°
Fractional coordinates of all 12 atoms:
Sr 0.0000 0.0000 0.0000
Sr 0.2236 0.0000 0.5873
Sr 0.5000 0.5000 0.0000
Sr 0.7236 0.5000 0.5873
Zn 0.2038 0.5000 0.9948
Zn 0.3230 0.0000 0.1589
Zn 0.7038 0.0000 0.9948
Zn 0.8230 0.5000 0.1589
Tc 0.0096 0.5000 0.5626
Tc 0.4040 0.5000 0.4277
Tc 0.5096 0.0000 0.5626
Tc 0.9040 0.0000 0.4277

=====

# 18
A relaxed Ca2Ac2Tl3 crystal, computed with PBE.

Calculated values
The excess energy over the best structure of this formula in the dataset comes out at 0 meV/atom. Its density is 7.7 g/cm³. The calculation puts the volume at 494 Å³ per cell. The value obtained for the total energy is -21.4 eV per formula unit.

a = 3.9472 Å, b = 32.3395 Å, c = 3.8705 Å
α = 90.00°, β = 90.00°, γ = 90.00°
Fractional coordinates of all 14 atoms:
Ca 0.0000 0.1978 0.0000
Ca 0.0000 0.8022 0.0000
Ca 0.5000 0.3022 0.0000
Ca 0.5000 0.6978 0.0000
Ac 0.0000 0.0705 0.0000
Ac 0.0000 0.9295 0.0000
Ac 0.5000 0.4295 0.0000
Ac 0.5000 0.5705 0.0000
Tl 0.0000 0.3577 0.5000
Tl 0.0000 0.5000 0.5000
Tl 0.0000 0.6423 0.5000
Tl 0.5000 0.0000 0.5000
Tl 0.5000 0.1423 0.5000
Tl 0.5000 0.8577 0.5000

=====

# 19
A relaxed AcPmGd2 crystal, computed with PBE.

Calculated values
The excess energy over the best structure of this formula in the dataset comes out at 72 meV/atom. Its density is 7.9 g/cm³. The calculation puts the volume at 578 Å³ per cell. The value obtained for the total energy is -36.6 eV per formula unit.

a = 8.3291 Å, b = 8.3291 Å, c = 8.3291 Å
α = 90.00°, β = 90.00°, γ = 90.00°
Fractional coordinates of all 16 atoms:
Ac 0.0000 0.0000 0.0000
Ac 0.0000 0.5000 0.5000
Ac 0.5000 0.0000 0.5000
Ac 0.5000 0.5000 0.0000
Pm 0.0000 0.0000 0.5000
Pm 0.0000 0.5000 0.0000
Pm 0.5000 0.0000 0.0000
Pm 0.5000 0.5000 0.5000
Gd 0.2500 0.2500 0.2500
Gd 0.2500 0.2500 0.7500
Gd 0.2500 0.7500 0.2500
Gd 0.2500 0.7500 0.7500
Gd 0.7500 0.2500 0.2500
Gd 0.7500 0.2500 0.7500
Gd 0.7500 0.7500 0.2500
Gd 0.7500 0.7500 0.7500

=====

# 20
A relaxed KLiIr crystal, computed with PBE.

Calculated values
The excess energy over the best structure of this formula in the dataset comes out at 0 meV/atom. Its density is 6.1 g/cm³. The calculation puts the volume at 130 Å³ per cell. The value obtained for the total energy is -10.9 eV per formula unit.

a = 2.6236 Å, b = 4.3683 Å, c = 11.3062 Å
α = 90.00°, β = 90.00°, γ = 90.00°
Fractional coordinates of all 6 atoms:
K 0.0000 0.0000 0.0000
K 0.5000 0.5000 0.5000
Li 0.0000 0.0000 0.7317
Li 0.5000 0.5000 0.2317
Ir 0.0000 0.0000 0.2921
Ir 0.5000 0.5000 0.7921